Run a
Material: Pb3WSe
Method: DFT, PBE
State: relaxed

- total magnetic moment (Bohr magnetons per cell) = 2.0
- Fermi-level density of states (states/eV/cell) = 3.6

```
data_Pb3WSe
_cell_length_a 5.416
_cell_length_b 5.416
_cell_length_c 5.416
_cell_angle_alpha 90.00
_cell_angle_beta 90.00
_cell_angle_gamma 90.00
_space_group_name_H-M_alt 'P m -3 m'
_space_group_IT_number 221
_space_group_name_Hall '-P 4 2 3'
loop_
_atom_site_label
_atom_site_fract_x
_atom_site_fract_y
_atom_site_fract_z
Pb1 0.000 0.000 0.500
W1 0.000 0.000 0.000
Se1 0.500 0.500 0.500
```

Run b
Material: Pb3WSe
Method: DFT, PBE
State: relaxed

- total magnetic moment (Bohr magnetons per cell) = 0.0
- Fermi-level density of states (states/eV/cell) = 9.2

```
data_Pb3WSe
_cell_length_a 5.496
_cell_length_b 5.496
_cell_length_c 5.496
_cell_angle_alpha 90.00
_cell_angle_beta 90.00
_cell_angle_gamma 90.00
_space_group_name_H-M_alt 'P m -3 m'
_space_group_IT_number 221
_space_group_name_Hall '-P 4 2 3'
loop_
_atom_site_label
_atom_site_fract_x
_atom_site_fract_y
_atom_site_fract_z
Pb1 0.000 0.000 0.500
W1 0.500 0.500 0.500
Se1 0.000 0.000 0.000
```

Stability check: which of them is least stable? run b.

Run a
Material: PbW3Se
Method: DFT, PBE
State: relaxed

- total magnetic moment (Bohr magnetons per cell) = 0.0
- Fermi-level density of states (states/eV/cell) = 8.7

```
data_PbW3Se
_cell_length_a 5.036
_cell_length_b 5.036
_cell_length_c 5.036
_cell_angle_alpha 90.00
_cell_angle_beta 90.00
_cell_angle_gamma 90.00
_space_group_name_H-M_alt 'P m -3 m'
_space_group_IT_number 221
_space_group_name_Hall '-P 4 2 3'
loop_
_atom_site_label
_atom_site_fract_x
_atom_site_fract_y
_atom_site_fract_z
Pb1 0.000 0.000 0.000
W1 0.000 0.000 0.500
Se1 0.500 0.500 0.500
```

Run b
Material: PbW3Se
Method: DFT, PBE
State: relaxed

- total magnetic moment (Bohr magnetons per cell) = 0.0
- Fermi-level density of states (states/eV/cell) = 5.0

```
data_PbW3Se
_cell_length_a 4.681
_cell_length_b 4.681
_cell_length_c 4.681
_cell_angle_alpha 90.00
_cell_angle_beta 90.00
_cell_angle_gamma 90.00
_space_group_name_H-M_alt 'P m -3 m'
_space_group_IT_number 221
_space_group_name_Hall '-P 4 2 3'
loop_
_atom_site_label
_atom_site_fract_x
_atom_site_fract_y
_atom_site_fract_z
Pb1 0.000 0.000 0.000
W1 0.000 0.500 0.500
Se1 0.500 0.500 0.500
```

Stability check: which of them is least stable? run a.

Run a
Material: PbWSe
Method: DFT, PBE
State: relaxed

- total magnetic moment (Bohr magnetons per cell) = 0.0
- Fermi-level density of states (states/eV/cell) = 6.4

```
data_PbWSe
_cell_length_a 3.329
_cell_length_b 5.227
_cell_length_c 16.156
_cell_angle_alpha 90.00
_cell_angle_beta 90.00
_cell_angle_gamma 90.00
_space_group_name_H-M_alt 'F m m 2'
_space_group_IT_number 42
_space_group_name_Hall 'F 2 -2'
loop_
_atom_site_label
_atom_site_fract_x
_atom_site_fract_y
_atom_site_fract_z
Pb1 0.000 0.000 0.000
W1 0.000 0.000 0.341
Se1 0.000 0.000 0.726
```

Run b
Material: PbWSe
Method: DFT, PBE
State: relaxed

- total magnetic moment (Bohr magnetons per cell) = 0.0
- Fermi-level density of states (states/eV/cell) = 0.9

```
data_PbWSe
_cell_length_a 3.2214
_cell_length_b 3.2214
_cell_length_c 8.2873
_cell_angle_alpha 90.00
_cell_angle_beta 90.00
_cell_angle_gamma 120.00
_space_group_name_H-M_alt 'P 3 m 1'
_space_group_IT_number 156
loop_
_space_group_symop_operation_xyz
'x,y,z'
'-y,x-y,z'
'-x+y,-x,z'
'-y,-x,z'
'-x+y,y,z'
'x,x-y,z'
loop_
_atom_site_label
_atom_site_fract_x
_atom_site_fract_y
_atom_site_fract_z
Pb1 0.0000 0.0000 0.0000
W1 0.3333 0.6667 0.6974
Se1 0.6667 0.3333 0.4929
```

Run c
Material: PbWSe
Method: DFT, PBE
State: relaxed

- total magnetic moment (Bohr magnetons per cell) = 0.0
- Fermi-level density of states (states/eV/cell) = 2.5

```
data_PbWSe
_cell_length_a 4.5809
_cell_length_b 4.5809
_cell_length_c 3.3860
_cell_angle_alpha 90.00
_cell_angle_beta 90.00
_cell_angle_gamma 120.00
_space_group_name_H-M_alt 'P -6 m 2'
_space_group_IT_number 187
_space_group_name_Hall 'P -6 2'
loop_
_atom_site_label
_atom_site_fract_x
_atom_site_fract_y
_atom_site_fract_z
Pb1 0.0000 0.0000 0.0000
W1 0.3333 0.6667 0.5000
Se1 0.6667 0.3333 0.5000
```

Run d
Material: PbWSe
Method: DFT, PBE
State: relaxed

- total magnetic moment (Bohr magnetons per cell) = 6.3
- Fermi-level density of states (states/eV/cell) = 10.6

```
data_PbWSe
_cell_length_a 6.583
_cell_length_b 6.583
_cell_length_c 6.583
_cell_angle_alpha 90.00
_cell_angle_beta 90.00
_cell_angle_gamma 90.00
_space_group_name_H-M_alt 'F -4 3 m'
_space_group_IT_number 216
_space_group_name_Hall 'F -4 2 3'
loop_
_atom_site_label
_atom_site_fract_x
_atom_site_fract_y
_atom_site_fract_z
Pb1 0.000 0.000 0.000
W1 0.250 0.250 0.750
Se1 0.000 0.000 0.500
```

Stability check: which of them is least stable? run d.

Run a
Material: Y2PbSe
Method: DFT, PBE
State: relaxed

- total magnetic moment (Bohr magnetons per cell) = 0.0
- Fermi-level density of states (states/eV/cell) = 4.7

```
data_Y2PbSe
_cell_length_a 7.496
_cell_length_b 7.496
_cell_length_c 7.496
_cell_angle_alpha 90.00
_cell_angle_beta 90.00
_cell_angle_gamma 90.00
_space_group_name_H-M_alt 'F m -3 m'
_space_group_IT_number 225
_space_group_name_Hall '-F 4 2 3'
loop_
_atom_site_label
_atom_site_fract_x
_atom_site_fract_y
_atom_site_fract_z
Y1 0.250 0.250 0.250
Pb1 0.000 0.000 0.000
Se1 0.000 0.000 0.500
```

Run b
Material: Y2PbSe
Method: DFT, PBE
State: relaxed

- total magnetic moment (Bohr magnetons per cell) = 0.4
- Fermi-level density of states (states/eV/cell) = 4.5

```
data_Y2PbSe
_cell_length_a 3.762
_cell_length_b 3.826
_cell_length_c 15.531
_cell_angle_alpha 90.00
_cell_angle_beta 90.00
_cell_angle_gamma 90.00
_space_group_name_H-M_alt 'I m m 2'
_space_group_IT_number 44
loop_
_space_group_symop_operation_xyz
'x,y,z'
'-x,-y,z'
'-x,y,z'
'x,-y,z'
'x+1/2,y+1/2,z+1/2'
'-x+1/2,-y+1/2,z+1/2'
'-x+1/2,y+1/2,z+1/2'
'x+1/2,-y+1/2,z+1/2'
loop_
_atom_site_label
_atom_site_fract_x
_atom_site_fract_y
_atom_site_fract_z
Y1 0.000 0.000 0.000
Y2 0.000 0.500 0.219
Pb1 0.000 0.500 0.838
Se1 0.000 0.000 0.577
```

Stability check: which of them is least stable? run a.

Run a
Material: Y2PbSe
Method: DFT, PBE
State: relaxed

- total magnetic moment (Bohr magnetons per cell) = 0.0
- Fermi-level density of states (states/eV/cell) = 5.5

```
data_Y2PbSe
_cell_length_a 7.643
_cell_length_b 7.901
_cell_length_c 3.627
_cell_angle_alpha 90.00
_cell_angle_beta 102.30
_cell_angle_gamma 90.00
_space_group_name_H-M_alt 'C 1 2/m 1'
_space_group_IT_number 12
loop_
_space_group_symop_operation_xyz
'x,y,z'
'-x,-y,-z'
'-x,y,-z'
'x,-y,z'
'x+1/2,y+1/2,z'
'-x+1/2,-y+1/2,-z'
'-x+1/2,y+1/2,-z'
'x+1/2,-y+1/2,z'
loop_
_atom_site_label
_atom_site_fract_x
_atom_site_fract_y
_atom_site_fract_z
Y1 0.250 0.250 0.000
Pb1 0.000 0.000 0.500
Se1 0.000 0.500 0.500
```

Run b
Material: Y2PbSe
Method: DFT, PBE
State: relaxed

- total magnetic moment (Bohr magnetons per cell) = 0.0
- Fermi-level density of states (states/eV/cell) = 6.6

```
data_Y2PbSe
_cell_length_a 7.554
_cell_length_b 7.554
_cell_length_c 7.554
_cell_angle_alpha 90.00
_cell_angle_beta 90.00
_cell_angle_gamma 90.00
_space_group_name_H-M_alt 'F -4 3 m'
_space_group_IT_number 216
_space_group_name_Hall 'F -4 2 3'
loop_
_atom_site_label
_atom_site_fract_x
_atom_site_fract_y
_atom_site_fract_z
Y1 0.000 0.000 0.000
Y2 0.250 0.250 0.250
Pb1 0.000 0.000 0.500
Se1 0.250 0.250 0.750
```

Stability check: which of them is least stable? run b.

Run a
Material: Y2PbSe
Method: DFT, PBE
State: relaxed

- total magnetic moment (Bohr magnetons per cell) = 0.0
- Fermi-level density of states (states/eV/cell) = 3.2

```
data_Y2PbSe
_cell_length_a 4.511
_cell_length_b 6.057
_cell_length_c 7.962
_cell_angle_alpha 90.00
_cell_angle_beta 90.00
_cell_angle_gamma 90.00
_space_group_name_H-M_alt 'I m m m'
_space_group_IT_number 71
_space_group_name_Hall '-I 2 2'
loop_
_atom_site_label
_atom_site_fract_x
_atom_site_fract_y
_atom_site_fract_z
Y1 0.000 0.000 0.232
Pb1 0.000 0.500 0.000
Se1 0.000 0.500 0.500
```

Run b
Material: Y2PbSe
Method: DFT, PBE
State: relaxed

- total magnetic moment (Bohr magnetons per cell) = 0.0
- Fermi-level density of states (states/eV/cell) = 7.9

```
data_Y2PbSe
_cell_length_a 3.9112
_cell_length_b 3.9112
_cell_length_c 24.6901
_cell_angle_alpha 90.00
_cell_angle_beta 90.00
_cell_angle_gamma 120.00
_space_group_name_H-M_alt 'R 3 m'
_space_group_IT_number 160
_space_group_name_Hall 'R 3 -2"'
loop_
_atom_site_label
_atom_site_fract_x
_atom_site_fract_y
_atom_site_fract_z
Y1 0.0000 0.0000 0.0000
Y2 0.0000 0.0000 0.1928
Pb1 0.0000 0.0000 0.4291
Se1 0.0000 0.0000 0.5972
```

Run c
Material: Y2PbSe
Method: DFT, PBE
State: relaxed

- total magnetic moment (Bohr magnetons per cell) = 0.0
- Fermi-level density of states (states/eV/cell) = 3.5

```
data_Y2PbSe
_cell_length_a 6.081
_cell_length_b 6.081
_cell_length_c 12.084
_cell_angle_alpha 90.00
_cell_angle_beta 90.00
_cell_angle_gamma 90.00
_space_group_name_H-M_alt 'P m n a'
_space_group_IT_number 53
loop_
_space_group_symop_operation_xyz
'x,y,z'
'-x,-y,-z'
'-x+1/2,-y,z+1/2'
'x+1/2,y,-z+1/2'
'x,-y,-z'
'-x,y,z'
'-x+1/2,y,-z+1/2'
'x+1/2,-y,z+1/2'
loop_
_atom_site_label
_atom_site_fract_x
_atom_site_fract_y
_atom_site_fract_z
Y1 0.000 0.249 0.119
Y2 0.000 0.251 0.631
Pb1 0.000 0.249 0.375
Se1 0.000 0.251 0.875
```

Run d
Material: Y2PbSe
Method: DFT, PBE
State: relaxed

- total magnetic moment (Bohr magnetons per cell) = 0.0
- Fermi-level density of states (states/eV/cell) = 0.0

```
data_Y2PbSe
_cell_length_a 6.510
_cell_length_b 6.510
_cell_length_c 14.269
_cell_angle_alpha 90.00
_cell_angle_beta 90.00
_cell_angle_gamma 90.00
_space_group_name_H-M_alt 'I -4 2 d'
_space_group_IT_number 122
_space_group_name_Hall 'I -4 2bw'
loop_
_atom_site_label
_atom_site_fract_x
_atom_site_fract_y
_atom_site_fract_z
Y1 0.228 0.250 0.125
Pb1 0.000 0.000 0.500
Se1 0.000 0.000 0.000
```

Stability check: which of them is least stable? run d.

Run a
Material: Y2PbSe
Method: DFT, PBE
State: relaxed

- total magnetic moment (Bohr magnetons per cell) = 0.0
- Fermi-level density of states (states/eV/cell) = 5.7

```
data_Y2PbSe
_cell_length_a 4.2435
_cell_length_b 4.2435
_cell_length_c 21.3584
_cell_angle_alpha 90.00
_cell_angle_beta 90.00
_cell_angle_gamma 120.00
_space_group_name_H-M_alt 'R -3 m'
_space_group_IT_number 166
_space_group_name_Hall '-R 3 2"'
loop_
_atom_site_label
_atom_site_fract_x
_atom_site_fract_y
_atom_site_fract_z
Y1 0.0000 0.0000 0.2458
Pb1 0.0000 0.0000 0.0000
Se1 0.0000 0.0000 0.5000
```

Run b
Material: Y2PbSe
Method: DFT, PBE
State: relaxed

- total magnetic moment (Bohr magnetons per cell) = 1.5
- Fermi-level density of states (states/eV/cell) = 12.8

```
data_Y2PbSe
_cell_length_a 3.8045
_cell_length_b 3.8045
_cell_length_c 30.3273
_cell_angle_alpha 90.00
_cell_angle_beta 90.00
_cell_angle_gamma 120.00
_space_group_name_H-M_alt 'R 3 m'
_space_group_IT_number 160
_space_group_name_Hall 'R 3 -2"'
loop_
_atom_site_label
_atom_site_fract_x
_atom_site_fract_y
_atom_site_fract_z
Y1 0.0000 0.0000 0.0000
Y2 0.0000 0.0000 0.2305
Pb1 0.0000 0.0000 0.4800
Se1 0.0000 0.0000 0.7221
```

Stability check: which of them is least stable? run b.

Run a
Material: Y2PbSe
Method: DFT, PBE
State: relaxed

- total magnetic moment (Bohr magnetons per cell) = 0.0
- Fermi-level density of states (states/eV/cell) = 0.9

```
data_Y2PbSe
_cell_length_a 4.296
_cell_length_b 4.296
_cell_length_c 6.065
_cell_angle_alpha 90.00
_cell_angle_beta 90.00
_cell_angle_gamma 90.00
_space_group_name_H-M_alt 'P 4/m m m'
_space_group_IT_number 123
_space_group_name_Hall '-P 4 2'
loop_
_atom_site_label
_atom_site_fract_x
_atom_site_fract_y
_atom_site_fract_z
Y1 0.000 0.000 0.000
Y2 0.500 0.500 0.500
Pb1 0.000 0.000 0.500
Se1 0.500 0.500 0.000
```

Run b
Material: Y2PbSe
Method: DFT, PBE
State: relaxed

- total magnetic moment (Bohr magnetons per cell) = 0.0
- Fermi-level density of states (states/eV/cell) = 3.7

```
data_Y2PbSe
_cell_length_a 4.321
_cell_length_b 4.321
_cell_length_c 11.512
_cell_angle_alpha 90.00
_cell_angle_beta 90.00
_cell_angle_gamma 90.00
_space_group_name_H-M_alt 'I -4 m 2'
_space_group_IT_number 119
_space_group_name_Hall 'I -4 -2'
loop_
_atom_site_label
_atom_site_fract_x
_atom_site_fract_y
_atom_site_fract_z
Y1 0.000 0.000 0.000
Y2 0.000 0.500 0.250
Pb1 0.000 0.500 0.750
Se1 0.000 0.000 0.500
```

Run c
Material: Y2PbSe
Method: DFT, PBE
State: relaxed

- total magnetic moment (Bohr magnetons per cell) = 0.5
- Fermi-level density of states (states/eV/cell) = 3.5

```
data_Y2PbSe
_cell_length_a 3.549
_cell_length_b 3.556
_cell_length_c 8.055
_cell_angle_alpha 90.00
_cell_angle_beta 90.06
_cell_angle_gamma 90.00
_space_group_name_H-M_alt 'P 1 2/m 1'
_space_group_IT_number 10
loop_
_space_group_symop_operation_xyz
'x,y,z'
'-x,-y,-z'
'-x,y,-z'
'x,-y,z'
loop_
_atom_site_label
_atom_site_fract_x
_atom_site_fract_y
_atom_site_fract_z
Y1 0.000 0.000 0.225
Pb1 0.500 0.500 0.500
Se1 0.500 0.500 0.000
```

Run d
Material: Y2PbSe
Method: DFT, PBE
State: relaxed

- total magnetic moment (Bohr magnetons per cell) = 0.0
- Fermi-level density of states (states/eV/cell) = 2.7

```
data_Y2PbSe
_cell_length_a 4.671
_cell_length_b 3.955
_cell_length_c 11.994
_cell_angle_alpha 90.00
_cell_angle_beta 90.00
_cell_angle_gamma 90.00
_space_group_name_H-M_alt 'A m m 2'
_space_group_IT_number 38
loop_
_space_group_symop_operation_xyz
'x,y,z'
'-x,-y,z'
'-x,y,z'
'x,-y,z'
'x,y+1/2,z+1/2'
'-x,-y+1/2,z+1/2'
'-x,y+1/2,z+1/2'
'x,-y+1/2,z+1/2'
loop_
_atom_site_label
_atom_site_fract_x
_atom_site_fract_y
_atom_site_fract_z
Y1 0.000 0.000 0.000
Y2 0.500 0.000 0.262
Pb1 0.000 0.000 0.733
Se1 0.500 0.000 0.496
```

Stability check: which of them is least stable? run b.